# 1
First-principles (GGA-PBE) data for a relaxed structure of Tb8Pb4CSe3, as listed in the Alexandria database.

energy relative to the elements, uncorrected	-0.948	eV per atom

Unit cell a=13.745 b=7.908 c=9.088 alpha=90.00 beta=120.51 gamma=90.00
Space group C2/m (No. 12)
Unique sites:
Tb: 0.011 0.226 0.307 (multiplicity 8)
Tb: 0.215 0.000 0.693 (multiplicity 4)
Tb: 0.239 0.500 0.715 (multiplicity 4)
Pb: 0.000 0.000 0.000 (multiplicity 2)
Pb: 0.000 0.500 0.000 (multiplicity 2)
Pb: 0.250 0.250 0.000 (multiplicity 4)
C: 0.000 0.000 0.500 (multiplicity 2)
Se: 0.000 0.500 0.500 (multiplicity 2)
Se: 0.250 0.250 0.500 (multiplicity 4)



# 2
First-principles (GGA-PBE) data for a relaxed structure of Th3PbCSe, as listed in the Alexandria database.

energy relative to the elements, uncorrected	-0.596	eV per atom

Unit cell a=7.846 b=3.749 c=11.624 alpha=90.00 beta=104.79 gamma=90.00
Space group P2_1/m (No. 11)
Unique sites:
Th: 0.139 0.250 0.129 (multiplicity 2)
Th: 0.254 0.750 0.501 (multiplicity 2)
Th: 0.294 0.750 0.879 (multiplicity 2)
Pb: 0.480 0.750 0.288 (multiplicity 2)
C: 0.112 0.250 0.916 (multiplicity 2)
Se: 0.001 0.750 0.649 (multiplicity 2)



# 3
First-principles (GGA-PBE) data for a relaxed structure of TiPb2CSe, as listed in the Alexandria database.

energy relative to the elements, uncorrected	0.642	eV per atom

Unit cell a=5.606 b=5.606 c=3.924 alpha=90.00 beta=90.00 gamma=90.00
Space group P4/mmm (No. 123)
Unique sites:
Ti: 0.000 0.000 0.000 (multiplicity 1)
Pb: 0.000 0.500 0.000 (multiplicity 2)
C: 0.000 0.000 0.500 (multiplicity 1)
Se: 0.500 0.500 0.500 (multiplicity 1)



# 4
First-principles (GGA-PBE) data for a relaxed structure of Tm8Pb3CSe3, as listed in the Alexandria database.

energy relative to the elements, uncorrected	-0.864	eV per atom

Unit cell a=7.8282 b=7.8282 c=22.7310 alpha=90.00 beta=90.00 gamma=120.00
Space group R-3m (No. 166, hexagonal axes)
Unique sites:
Tm: 0.0000 0.0000 0.2381 (multiplicity 6)
Tm: 0.0412 0.5206 0.2302 (multiplicity 18)
Pb: 0.0000 0.5000 0.0000 (multiplicity 9)
C: 0.0000 0.0000 0.5000 (multiplicity 3)
Se: 0.0000 0.5000 0.5000 (multiplicity 9)



# 5
First-principles (GGA-PBE) data for a relaxed structure of SiPb3C, as listed in the Alexandria database.

ΔE to the lowest computed polymorph	0.00	eV per formula unit
energy relative to the elements, uncorrected	1.118	eV per atom

Unit cell a=4.996 b=4.996 c=4.996 alpha=90.00 beta=90.00 gamma=90.00
Space group Pm-3m (No. 221)
Unique sites:
Si: 0.000 0.000 0.000 (multiplicity 1)
Pb: 0.000 0.500 0.500 (multiplicity 3)
C: 0.500 0.500 0.500 (multiplicity 1)



# 6
First-principles (GGA-PBE) data for a relaxed structure of SiPb2C, as listed in the Alexandria database.

ΔE to the lowest computed polymorph	0.00	eV per formula unit
energy relative to the elements, uncorrected	1.038	eV per atom

Unit cell a=5.876 b=5.876 c=11.410 alpha=90.00 beta=90.00 gamma=90.00
Space group I-42d (No. 122)
Unique sites:
Si: 0.000 0.000 0.000 (multiplicity 4)
Pb: 0.200 0.250 0.625 (multiplicity 8)
C: 0.000 0.000 0.500 (multiplicity 4)



# 7
First-principles (GGA-PBE) data for a relaxed structure of Si2PbC, as listed in the Alexandria database.

ΔE to the lowest computed polymorph	0.00	eV per formula unit
energy relative to the elements, uncorrected	0.552	eV per atom

Unit cell a=5.385 b=5.385 c=9.873 alpha=90.00 beta=90.00 gamma=90.00
Space group I-42d (No. 122)
Unique sites:
Si: 0.138 0.250 0.125 (multiplicity 8)
Pb: 0.000 0.000 0.500 (multiplicity 4)
C: 0.000 0.000 0.000 (multiplicity 4)



# 8
First-principles (GGA-PBE) data for a relaxed structure of Si2PbC, as listed in the Alexandria database.

ΔE to the lowest computed polymorph	5.21	eV per formula unit
energy relative to the elements, uncorrected	1.853	eV per atom

Unit cell a=6.586 b=6.586 c=6.586 alpha=90.00 beta=90.00 gamma=90.00
Space group Fm-3m (No. 225)
Unique sites:
Si: 0.250 0.250 0.250 (multiplicity 8)
Pb: 0.000 0.000 0.000 (multiplicity 4)
C: 0.000 0.000 0.500 (multiplicity 4)